Ti3NbSe6 PBE relaxed; calculated total energy = -6.34 eV per atom; energy relative to the elements, uncorrected = -8.8 eV/f.u.
1.0
-0.422 5.519 -5.285
-6.957 -2.638 -1.792
-2.831 4.593 5.428
Nb Se Ti
2 12 6
Direct
0.000 0.000 0.000 Nb
0.500 0.500 0.500 Nb
0.143 0.318 0.948 Se
0.682 0.052 0.857 Se
0.052 0.857 0.682 Se
0.318 0.948 0.143 Se
0.857 0.682 0.052 Se
0.420 0.643 0.806 Se
0.643 0.806 0.420 Se
0.806 0.420 0.643 Se
0.357 0.194 0.580 Se
0.948 0.143 0.318 Se
0.580 0.357 0.194 Se
0.194 0.580 0.357 Se
0.044 0.178 0.644 Ti
0.178 0.644 0.044 Ti
0.956 0.822 0.356 Ti
0.644 0.044 0.178 Ti
0.822 0.356 0.956 Ti
0.356 0.956 0.822 Ti

=====

TiNbSe4 PBE relaxed; calculated total energy = -6.13 eV per atom; energy relative to the elements, uncorrected = -4.9 eV/f.u.
1.0
-0.779 -4.994 2.829
6.929 0.446 2.694
-5.969 2.863 3.411
Ti Nb Se
2 2 8
Direct
0.500 0.500 0.000 Ti
0.000 0.000 0.000 Ti
0.000 0.500 0.500 Nb
0.500 0.000 0.500 Nb
0.266 0.325 0.169 Se
0.735 0.168 0.325 Se
0.765 0.668 0.325 Se
0.234 0.825 0.169 Se
0.265 0.832 0.675 Se
0.235 0.332 0.675 Se
0.766 0.175 0.831 Se
0.734 0.675 0.831 Se

=====

TiNb3Se PBE relaxed; polymorph energy (0 for the lowest one) = 569 meV/atom; calculated total energy = -7.16 eV per atom; energy relative to the elements, uncorrected = 5.8 eV/f.u.
1.0
-3.030 3.393 -1.344
-1.602 -2.806 -3.473
-3.279 -1.765 2.939
Se Nb Ti
1 3 1
Direct
0.500 0.500 0.500 Se
0.000 0.000 0.500 Nb
0.000 0.500 0.000 Nb
0.500 0.000 0.000 Nb
0.000 0.000 0.000 Ti

=====

Ti2NbSe PBE relaxed; calculated total energy = -7.62 eV per atom; energy relative to the elements, uncorrected = -1.1 eV/f.u.
1.0
-2.516 -1.844 0.759
-0.136 -3.036 -1.037
2.920 -4.074 6.573
Ti Nb Se
2 1 1
Direct
0.256 0.256 0.233 Ti
0.077 0.077 0.769 Ti
0.500 0.500 0.501 Nb
0.668 0.668 0.997 Se